The following is a DFT calculation (PBE-GGA) of an optimized crystal structure of B3C.

```
8
Lattice="-0.161 10.844 2.975 -1.022 11.190 0.456 -2.777 10.628 2.410" Properties=species:S:1:pos:R:3 pbc="T T T"
B -0.881 7.270 1.300
B -2.079 17.149 3.067
B -1.881 15.514 2.774
B -3.079 25.393 4.541
B -0.239 1.969 0.352
B -3.721 30.694 5.489
C -2.893 23.860 4.267
C -1.067 8.803 1.574
```

For the energy above the lowest structure with this stoichiometry, the calculation gives 0.108 eV per atom. The formation energy comes out at 0.3481 eV per atom. The crystal system is trigonal. As for the total energy: -55.73 eV per cell.